No. 1
The following is a DFT calculation (PBE with a Hubbard U) of an optimized crystal structure of Mn3Fe3Co2O16.

Calculated values
total DFT energy (no corrections) = -151.77 eV/f.u.
ρ = 4.615 g/cm3

```
24
Lattice="5.049 -2.911 0.000 5.049 2.911 0.000 -0.076 0.000 8.643" Properties=species:S:1:pos:R:3 pbc="T T T"
Mn 0.000 0.000 0.000
Mn 4.115 1.444 4.307
Mn 4.115 -1.444 4.307
Fe 7.480 1.460 8.610
Fe 6.627 0.000 4.293
Fe 7.480 -1.460 8.610
Co 1.592 0.000 2.410
Co 4.970 0.000 6.709
O 1.545 0.000 7.643
O 4.158 1.422 7.673
O 5.922 1.678 1.186
O 3.050 0.000 1.223
O 3.504 0.000 5.454
O 5.687 1.253 5.447
O 4.942 0.000 3.349
O 7.476 1.464 3.355
O 6.559 0.000 7.694
O 4.158 -1.422 7.673
O 5.687 -1.253 5.447
O 8.320 0.000 5.224
O 8.415 0.000 0.909
O 5.922 -1.678 1.186
O 7.476 -1.464 3.355
O 10.021 0.000 3.368
```



No. 2
The following is a DFT calculation (PBE with a Hubbard U) of an optimized crystal structure of Mn3Fe2Co3O16.

Calculated values
total DFT energy (no corrections) = -151.01 eV/f.u.
ρ = 4.682 g/cm3

```
24
Lattice="4.923 -2.852 0.000 4.923 2.852 0.000 -0.195 0.000 8.959" Properties=species:S:1:pos:R:3 pbc="T T T"
Mn 0.000 0.000 0.000
Mn 3.991 1.410 4.556
Mn 3.991 -1.410 4.556
Fe 1.478 0.000 6.568
Fe 4.873 0.000 1.992
Co 7.377 1.423 0.041
Co 6.444 0.000 4.615
Co 7.377 -1.423 0.041
O 4.044 1.449 0.982
O 1.631 0.000 0.999
O 2.882 0.000 7.901
O 5.683 1.585 7.850
O 3.365 0.000 3.421
O 5.586 1.231 3.471
O 4.799 0.000 5.558
O 7.239 1.404 5.523
O 4.044 -1.449 0.982
O 6.585 0.000 0.929
O 5.586 -1.231 3.471
O 8.081 0.000 3.615
O 7.988 0.000 8.019
O 5.683 -1.585 7.850
O 7.239 -1.404 5.523
O 9.696 0.000 5.576
```



No. 3
The following is a DFT calculation (PBE with a Hubbard U) of an optimized crystal structure of Mn2Fe3Co3O16.

Calculated values
total DFT energy (no corrections) = -145.86 eV/f.u.
ρ = 4.845 g/cm3

```
24
Lattice="4.919 -2.826 0.000 4.919 2.826 0.000 -0.113 0.000 8.753" Properties=species:S:1:pos:R:3 pbc="T T T"
Mn 0.000 0.000 0.000
Mn 6.480 0.000 4.398
Fe 4.044 1.421 2.413
Fe 4.825 0.000 6.801
Fe 4.044 -1.421 2.413
Co 1.574 0.000 2.437
Co 7.275 1.406 6.829
Co 7.275 -1.406 6.829
O 9.791 0.000 3.385
O 3.963 1.414 7.762
O 1.529 0.000 7.729
O 5.610 1.592 1.291
O 3.205 0.000 1.476
O 3.161 0.000 5.859
O 5.766 1.263 5.693
O 7.293 1.426 3.351
O 4.823 0.000 3.401
O 3.963 -1.414 7.762
O 6.463 0.000 7.784
O 7.905 0.000 5.723
O 5.766 -1.263 5.693
O 8.369 0.000 1.263
O 5.610 -1.592 1.291
O 7.293 -1.426 3.351
```